## KCu (PBE-GGA)

Data for a relaxed KCu crystal.

The structure belongs to space group P6_3/mmc (No. 194); the cell edges are 5.6999, 5.6999 and 6.6267 Å and the angles 90.00°, 90.00° and 120.00°. The inequivalent atoms are K at (0.3333, 0.6667, 0.2500) and Cu at (0.3333, 0.6667, 0.7500).

The calculation puts the density of states at the Fermi level at 0.00 states/eV/f.u. For the calculated formation energy, the calculation gives 0.5905 eV/atom. Its total magnetization is 0.2 μB/f.u. The calculation puts the energy at -2.006 eV/atom.